Here is a geometry-optimized Fe3CoIr4 structure from Alexandria. Energies are from GGA-PBE.

Cell and atoms, written as CIF:
```
data_Fe3CoIr4
_cell_length_a 4.5054
_cell_length_b 5.3934
_cell_length_c 8.5362
_cell_angle_alpha 90.00
_cell_angle_beta 90.00
_cell_angle_gamma 90.00
_symmetry_space_group_name_H-M 'P 1'
_symmetry_Int_Tables_number 1
loop_
_symmetry_equiv_pos_as_xyz
'x,y,z'
loop_
_atom_site_label
_atom_site_type_symbol
_atom_site_fract_x
_atom_site_fract_y
_atom_site_fract_z
_atom_site_occupancy
Fe1 Fe 0.6615 0.0000 0.7500 1
Fe2 Fe 0.3385 0.0000 0.2500 1
Fe3 Fe 0.3365 0.5000 0.2500 1
Fe4 Fe 0.0000 0.0000 0.5000 1
Fe5 Fe 0.6635 0.5000 0.7500 1
Fe6 Fe 0.0000 0.0000 0.0000 1
Ir1 Ir 0.5000 0.7488 0.0000 1
Ir2 Ir 0.1499 0.2517 0.7500 1
Ir3 Ir 0.5000 0.2512 0.5000 1
Ir4 Ir 0.5000 0.2512 0.0000 1
Ir5 Ir 0.8501 0.2517 0.2500 1
Ir6 Ir 0.8501 0.7483 0.2500 1
Ir7 Ir 0.5000 0.7488 0.5000 1
Ir8 Ir 0.1499 0.7483 0.7500 1
Co1 Co 0.0000 0.5000 0.5000 1
Co2 Co 0.0000 0.5000 0.0000 1
```

Values from the calculation:
Total energy = -136.3 eV/cell
E_form = -0.023 eV per atom
SG = No. 51

---

Here is a geometry-optimized Sc2NbGeO structure from Alexandria. Energies are from GGA-PBE.

Cell and atoms, written as CIF:
```
data_Sc2NbGeO
_cell_length_a 5.3583
_cell_length_b 3.8666
_cell_length_c 5.3583
_cell_angle_alpha 90.00
_cell_angle_beta 90.00
_cell_angle_gamma 90.00
_symmetry_space_group_name_H-M 'P 1'
_symmetry_Int_Tables_number 1
loop_
_symmetry_equiv_pos_as_xyz
'x,y,z'
loop_
_atom_site_label
_atom_site_type_symbol
_atom_site_fract_x
_atom_site_fract_y
_atom_site_fract_z
_atom_site_occupancy
Sc1 Sc 0.5000 0.0000 0.0000 1
Sc2 Sc 0.0000 0.0000 0.5000 1
Nb1 Nb 0.0000 0.0000 0.0000 1
O1 O 0.0000 0.5000 0.0000 1
Ge1 Ge 0.5000 0.5000 0.5000 1
```

Values from the calculation:
E_form (uncorrected) = -0.17 eV per atom
Total energy = -33.2 eV/cell
SG = No. 123

---

Here is a geometry-optimized Ni8Rh structure from Alexandria. Energies are from GGA-PBE.

Cell and atoms, written as CIF:
```
data_Ni8Rh
_cell_length_a 6.4332
_cell_length_b 6.4332
_cell_length_c 6.4332
_cell_angle_alpha 92.33
_cell_angle_beta 92.33
_cell_angle_gamma 156.74
_symmetry_space_group_name_H-M 'P 1'
_symmetry_Int_Tables_number 1
loop_
_symmetry_equiv_pos_as_xyz
'x,y,z'
loop_
_atom_site_label
_atom_site_type_symbol
_atom_site_fract_x
_atom_site_fract_y
_atom_site_fract_z
_atom_site_occupancy
Ni1 Ni 0.3292 0.6708 0.0000 1
Ni2 Ni 0.3292 0.3292 0.6584 1
Ni3 Ni 0.6708 0.3292 0.0000 1
Ni4 Ni 0.6662 0.0000 0.6662 1
Ni5 Ni 0.0000 0.3338 0.3338 1
Ni6 Ni 0.3338 0.0000 0.3338 1
Ni7 Ni 0.0000 0.6662 0.6662 1
Ni8 Ni 0.6708 0.6708 0.3416 1
Rh1 Rh 0.0000 0.0000 0.0000 1
```

Values from the calculation:
Offset from the most stable computed form = 95 meV/atom
Total energy = -52.6 eV/cell
E_form = 0.108 eV per atom
SG = No. 139

---

Here is a geometry-optimized Pr3Nd2Mg2 structure from Alexandria. Energies are from GGA-PBE.

Cell and atoms, written as CIF:
```
data_Pr3Nd2Mg2
_cell_length_a 3.8744
_cell_length_b 3.7806
_cell_length_c 15.8590
_cell_angle_alpha 90.00
_cell_angle_beta 97.02
_cell_angle_gamma 90.00
_symmetry_space_group_name_H-M 'P 1'
_symmetry_Int_Tables_number 1
loop_
_symmetry_equiv_pos_as_xyz
'x,y,z'
loop_
_atom_site_label
_atom_site_type_symbol
_atom_site_fract_x
_atom_site_fract_y
_atom_site_fract_z
_atom_site_occupancy
Pr1 Pr 0.5816 0.5000 0.1631 1
Pr2 Pr 0.0000 0.0000 0.0000 1
Pr3 Pr 0.4184 0.5000 0.8369 1
Nd1 Nd 0.7052 0.5000 0.4104 1
Nd2 Nd 0.2948 0.5000 0.5896 1
Mg1 Mg 0.8562 0.0000 0.7123 1
Mg2 Mg 0.1438 0.0000 0.2877 1
```

Values from the calculation:
Total energy = -26.9 eV/cell
E_form = 0.027 eV per atom
SG = No. 65